[1]
Compound: Re2SeF
Source: the Alexandria database
Functional: PBE
Structure: optimized geometry

energy	-6.96	eV/atom
density of states at the Fermi level	3.371	states/eV per cell
offset from the most stable computed form	0	meV/atom
formation energy from raw total energies	2.409	eV/f.u.
SG	Fm-3m (225)

```
Re2SeF
1.0
0.0000 2.9992 2.9992
2.9992 0.0000 2.9992
2.9992 2.9992 0.0000
Re Se F
2 1 1
direct
0.7500 0.7500 0.7500
0.2500 0.2500 0.2500
0.5000 0.5000 0.5000
0.0000 0.0000 0.0000
```

---

[2]
Compound: GaNi2Pt4
Source: the Alexandria database
Functional: PBE
Structure: optimized geometry

energy	-5.70	eV/atom
density of states at the Fermi level	8.351	states/eV per cell
calculated formation energy	-0.165	eV per atom
SG	I4/mmm (139)

```
GaNi2Pt4
1.0
5.5523 0.0000 0.0000
2.7761 4.3608 0.0000
2.7761 0.0000 4.3608
Pt Ni Ga
4 2 1
direct
0.0001 0.5000 0.9998
0.4999 0.5000 0.0002
0.9999 0.0002 0.5000
0.5001 0.9998 0.5000
0.0000 0.5000 0.5000
0.5000 0.5000 0.5000
0.0000 0.0000 0.0000
```

---

[3]
Compound: MgZr2Br
Source: the Alexandria database
Functional: PBE
Structure: optimized geometry

energy	-5.37	eV/atom
density of states at the Fermi level	2.219	states/eV per cell
offset from the most stable computed form	0	meV/atom
formation energy from raw total energies	-1.107	eV/f.u.
SG	P4mm (99)

```
MgZr2Br
1.0
-0.2446 0.9020 3.1076
2.5683 -1.8417 0.7370
5.7958 7.4048 -1.6932
Br Mg Zr
1 1 2
direct
0.0000 0.0000 0.4435
0.5000 0.5000 0.7869
0.0000 0.0000 0.0153
0.5000 0.5000 0.2542
```